This record from the Alexandria database describes a relaxed Pm8BC3Br4 crystal. The functional is PBE.

Cell lengths 7.6767, 8.5941, 7.6750 Å; angles 116.47, 120.01, 90.00 degrees
Sites, in units of the cell vectors:
Pm (0.2312, 0.6854, 0.9538)
Pm (0.2313, 0.6854, 0.4625)
Pm (0.2729, 0.3183, 0.5458)
Pm (0.7226, 0.6854, 0.9538)
Pm (0.2774, 0.3146, 0.0462)
Pm (0.7271, 0.6817, 0.4542)
Pm (0.7687, 0.3146, 0.5375)
Pm (0.7688, 0.3146, 0.0462)
B (0.0000, 0.5000, 0.0000)
C (0.5000, 0.5000, 0.0000)
C (0.5000, 0.5000, 0.5000)
C (0.0000, 0.5000, 0.5000)
Br (0.5000, 0.0000, 0.0000)
Br (0.5000, 0.0000, 0.5000)
Br (0.0000, 0.0000, 0.0000)
Br (0.0000, 0.0000, 0.5000)

Calculated values
VASP energy ... -0.4267 Ry/atom
Formation energy from raw total energies ... -0.8656 eV/atom
Space-group type ... C2/m
Density of states at the Fermi level ... 7.4 states/eV/cell